GGA+U Ac2TmMoO8, optimized geometry; crystal system = monoclinic; mass density = 7.00 g/cm³; total energy = -90.088 eV per formula unit
1.0
-1.7123 1.6149 4.8073
4.0465 -2.7157 2.2133
4.0752 5.6956 -0.4616
Ac Tm Mo O
2 1 1 8
direct
0.5000 0.5000 0.7545
0.5000 0.5000 0.2455
0.0000 0.0000 0.5000
0.0000 0.0000 0.0000
0.1683 0.8300 0.2136
0.7420 0.7445 0.0000
0.8316 0.1700 0.2136
0.8317 0.1700 0.7864
0.2580 0.2555 0.0000
0.1684 0.8300 0.7864
0.7084 0.7096 0.5000
0.2916 0.2904 0.5000